Entry a
! PBE La2PuMg, optimized geometry; values from VASP
! Space-group type ... R3m (160)
! Crystal system ... trigonal
&SYSTEM
  ibrav = 0, nat = 12, ntyp = 3
/
ATOMIC_SPECIES
La 138.91 La.upf
Pu 244.00 Pu.upf
Mg 24.30 Mg.upf
CELL_PARAMETERS angstrom
3.5396 0.0000 0.0000
-1.7698 3.0654 0.0000
0.0000 0.0000 34.6838
ATOMIC_POSITIONS crystal
La 0.0000 0.0000 0.0000
La 0.0000 0.0000 0.1706
La 0.3333 0.6667 0.6667
La 0.3333 0.6667 0.8372
La 0.6667 0.3333 0.3333
La 0.6667 0.3333 0.5039
Pu 0.0000 0.0000 0.5848
Pu 0.3333 0.6667 0.2515
Pu 0.6667 0.3333 0.9181
Mg 0.0000 0.0000 0.7521
Mg 0.3333 0.6667 0.4188
Mg 0.6667 0.3333 0.0855



Entry b
! PBE La2PuMg, optimized geometry; values from VASP
! Space-group type ... P4/mmm (123)
! Crystal system ... tetragonal
&SYSTEM
  ibrav = 0, nat = 4, ntyp = 3
/
ATOMIC_SPECIES
La 138.91 La.upf
Pu 244.00 Pu.upf
Mg 24.30 Mg.upf
CELL_PARAMETERS angstrom
5.7861 0.0000 0.0000
0.0000 5.7861 0.0000
0.0000 0.0000 3.6823
ATOMIC_POSITIONS crystal
La 0.0000 0.5000 0.0000
La 0.5000 0.0000 0.0000
Pu 0.0000 0.0000 0.5000
Mg 0.5000 0.5000 0.5000



Quick one: least stable of them? entry a



Entry a
! PBE Rb2La2Mg, optimized geometry; values from VASP
! Space-group type ... I4/mmm (139)
! Crystal system ... tetragonal
&SYSTEM
  ibrav = 0, nat = 10, ntyp = 3
/
ATOMIC_SPECIES
Rb 85.47 Rb.upf
La 138.91 La.upf
Mg 24.30 Mg.upf
CELL_PARAMETERS angstrom
4.6854 0.0000 0.0000
0.0000 4.6854 0.0000
0.0000 0.0000 20.8936
ATOMIC_POSITIONS crystal
Rb 0.0000 0.5000 0.2500
Rb 0.0000 0.5000 0.7500
Rb 0.5000 0.0000 0.2500
Rb 0.5000 0.0000 0.7500
La 0.0000 0.0000 0.0749
La 0.0000 0.0000 0.9251
La 0.5000 0.5000 0.4251
La 0.5000 0.5000 0.5749
Mg 0.0000 0.0000 0.5000
Mg 0.5000 0.5000 0.0000



Entry b
! PBE Rb2La2Mg, optimized geometry; values from VASP
! Space-group type ... P4/mbm (127)
! Crystal system ... tetragonal
&SYSTEM
  ibrav = 0, nat = 10, ntyp = 3
/
ATOMIC_SPECIES
Rb 85.47 Rb.upf
La 138.91 La.upf
Mg 24.30 Mg.upf
CELL_PARAMETERS angstrom
8.2144 0.0000 0.0000
0.0000 8.2144 0.0000
0.0000 0.0000 7.2955
ATOMIC_POSITIONS crystal
Rb 0.1978 0.3022 0.0000
Rb 0.3022 0.8022 0.0000
Rb 0.6978 0.1978 0.0000
Rb 0.8022 0.6978 0.0000
La 0.1265 0.6265 0.5000
La 0.3735 0.1265 0.5000
La 0.6265 0.8735 0.5000
La 0.8735 0.3735 0.5000
Mg 0.0000 0.0000 0.5000
Mg 0.5000 0.5000 0.5000



Quick one: least stable of them? entry a



Entry a
! PBE RbLaMg14, optimized geometry; values from VASP
! Space-group type ... Amm2 (38)
! Crystal system ... orthorhombic
&SYSTEM
  ibrav = 0, nat = 16, ntyp = 3
/
ATOMIC_SPECIES
Rb 85.47 Rb.upf
La 138.91 La.upf
Mg 24.30 Mg.upf
CELL_PARAMETERS angstrom
10.7117 0.0000 0.0000
0.0000 3.5122 5.5539
0.0000 -3.5122 5.5539
ATOMIC_POSITIONS crystal
Rb 0.0000 0.0000 0.0000
La 0.0000 0.4925 0.4925
Mg 0.0000 0.5046 0.9898
Mg 0.0000 0.9898 0.5046
Mg 0.2470 0.2464 0.2464
Mg 0.2512 0.7262 0.7262
Mg 0.2778 0.2323 0.7358
Mg 0.2778 0.7358 0.2323
Mg 0.5000 0.4044 0.9291
Mg 0.5000 0.4125 0.4125
Mg 0.5000 0.9005 0.9005
Mg 0.5000 0.9291 0.4044
Mg 0.7222 0.2323 0.7358
Mg 0.7222 0.7358 0.2323
Mg 0.7488 0.7262 0.7262
Mg 0.7530 0.2464 0.2464



Entry b
! PBE RbLaMg14, optimized geometry; values from VASP
! Space-group type ... P-6m2 (187)
! Crystal system ... hexagonal
&SYSTEM
  ibrav = 0, nat = 16, ntyp = 3
/
ATOMIC_SPECIES
Rb 85.47 Rb.upf
La 138.91 La.upf
Mg 24.30 Mg.upf
CELL_PARAMETERS angstrom
6.8117 0.0000 0.0000
-3.4059 5.8991 0.0000
0.0000 0.0000 10.6010
ATOMIC_POSITIONS crystal
Rb 0.0000 0.0000 0.0000
La 0.0000 0.0000 0.5000
Mg 0.0075 0.5037 0.0000
Mg 0.0076 0.5038 0.5000
Mg 0.1764 0.3527 0.2564
Mg 0.1764 0.3527 0.7436
Mg 0.1764 0.8236 0.2564
Mg 0.1764 0.8236 0.7436
Mg 0.4963 0.5037 0.0000
Mg 0.4962 0.5038 0.5000
Mg 0.4962 0.9924 0.5000
Mg 0.4963 0.9925 0.0000
Mg 0.6473 0.8236 0.2564
Mg 0.6473 0.8236 0.7436
Mg 0.6667 0.3333 0.2537
Mg 0.6667 0.3333 0.7463



Quick one: least stable of them? entry a